[1]
VASP calculation (PBE) on a relaxed GdTlAu crystal.

The structure belongs to space group P-6m2 (No. 187); the cell edges are 4.9126, 4.9126 and 3.4686 Å and the angles 90.00°, 90.00° and 120.00°. The inequivalent atoms are Gd at (0.0000, 0.0000, 0.0000), Tl at (0.3333, 0.6667, 0.5000) and Au at (0.6667, 0.3333, 0.5000).

Its volume is 24.17 Å³/atom. For the energy of formation, the calculation gives -526 meV/atom.

[2]
VASP calculation (PBE) on a relaxed Ac3Al2AgO9 crystal.

The structure belongs to space group P-3m1 (No. 164); the cell edges are 5.6118, 5.6118 and 6.9403 Å and the angles 90.00°, 90.00° and 120.00°. The inequivalent atoms are Ac at (0.0000, 0.0000, 0.0000), Ac at (0.3333, 0.6667, 0.6597), Al at (0.3333, 0.6667, 0.1494), Ag at (0.0000, 0.0000, 0.5000), O at (0.0000, 0.5000, 0.0000) and O at (0.1782, 0.3563, 0.3205).

Its electronic total energy is -107.04 eV for the cell shown. Its volume is 12.62 Å³/atom.

[3]
VASP calculation (PBE) on a relaxed Re2SiAu crystal.

The structure belongs to space group I-42d (No. 122); the cell edges are 7.125, 7.125 and 5.127 Å and the angles 90.00°, 90.00° and 90.00°. The inequivalent atoms are Re at (0.205, 0.250, 0.125), Si at (0.000, 0.000, 0.000) and Au at (0.000, 0.000, 0.500).

Its electronic total energy is -124.18 eV for the cell shown. Its volume is 16.27 Å³/atom.

[4]
VASP calculation (PBE) on a relaxed Er4AlAgHg2 crystal.

The structure belongs to space group R-3m (No. 166, hexagonal axes); the cell edges are 5.1551, 5.1551 and 25.2721 Å and the angles 90.00°, 90.00° and 120.00°. The inequivalent atoms are Er at (0.0000, 0.0000, 0.1250), Er at (0.0000, 0.0000, 0.3752), Al at (0.0000, 0.0000, 0.5000), Ag at (0.0000, 0.0000, 0.0000) and Hg at (0.0000, 0.0000, 0.2497).

Its volume is 24.23 Å³/atom. For the energy of formation, the calculation gives -406 meV/atom.

[5]
VASP calculation (PBE) on a relaxed Dy4AgPt2 crystal.

The structure belongs to space group C2 (No. 5); the cell edges are 11.206, 8.578 and 9.150 Å and the angles 90.00°, 127.76° and 90.00°. The inequivalent atoms are Dy at (0.052, 0.000, 0.349), Dy at (0.088, 0.604, 0.239), Dy at (0.152, 0.354, 0.739), Dy at (0.203, 0.250, 0.151), Ag at (0.000, 0.680, 0.500), Ag at (0.000, 0.930, 0.000), Pt at (0.170, 0.310, 0.441) and Pt at (0.230, 0.560, 0.059).

The energy above the most stable polymorph in this dataset is 0.000 eV/atom. Its volume is 24.83 Å³/atom. For the energy of formation, the calculation gives -827 meV/atom.

[6]
VASP calculation (PBE) on a relaxed CaLa12Pr3 crystal.

The structure belongs to space group P4/mmm (No. 123); the cell edges are 5.289, 5.289 and 21.101 Å and the angles 90.00°, 90.00° and 90.00°. The inequivalent atoms are Ca at (0.000, 0.000, 0.000), La at (0.000, 0.500, 0.128), La at (0.000, 0.500, 0.375), La at (0.500, 0.500, 0.000), La at (0.500, 0.500, 0.250), La at (0.500, 0.500, 0.500), Pr at (0.000, 0.000, 0.250) and Pr at (0.000, 0.000, 0.500).

Its volume is 36.90 Å³/atom. For the energy of formation, the calculation gives 17 meV/atom.

[7]
VASP calculation (PBE) on a relaxed Li3Np2Cl9 crystal.

The structure belongs to space group P6_3/m (No. 176); the cell edges are 7.6895, 7.6895 and 13.1558 Å and the angles 90.00°, 90.00° and 120.00°. The inequivalent atoms are Li at (0.0951, 0.7751, 0.2500), Np at (0.3333, 0.6667, 0.5726), Cl at (0.0714, 0.6777, 0.0790) and Cl at (0.1122, 0.7259, 0.7500).

Its electronic total energy is -144.58 eV for the cell shown. Its volume is 24.06 Å³/atom.

[8]
VASP calculation (PBE) on a relaxed KTe2W crystal.

The structure belongs to space group R-3m (No. 166, hexagonal axes); the cell edges are 3.3102, 3.3102 and 32.8951 Å and the angles 90.00°, 90.00° and 120.00°. The inequivalent atoms are K at (0.0000, 0.0000, 0.0000), Te at (0.0000, 0.0000, 0.4193) and W at (0.0000, 0.0000, 0.5000).

The energy above the most stable polymorph in this dataset is 0.777 eV/atom. Its volume is 26.01 Å³/atom.

[9]
VASP calculation (PBE) on a relaxed As2IrBr crystal.

The structure belongs to space group F-43m (No. 216); the cell edges are 6.614, 6.614 and 6.614 Å and the angles 90.00°, 90.00° and 90.00°. The inequivalent atoms are As at (0.000, 0.000, 0.000), As at (0.250, 0.250, 0.250), Ir at (0.250, 0.250, 0.750) and Br at (0.000, 0.000, 0.500).

The energy above the most stable polymorph in this dataset is 0.954 eV/atom. Its volume is 18.08 Å³/atom.

[10]
VASP calculation (PBE) on a relaxed Y3TlO crystal.

The structure belongs to space group C2/c (No. 15); the cell edges are 14.291, 11.007 and 7.181 Å and the angles 90.00°, 107.46° and 90.00°. The inequivalent atoms are Y at (0.124, 0.223, 0.133), Y at (0.143, 0.454, 0.522), Y at (0.155, 0.130, 0.636), Tl at (0.000, 0.016, 0.250), Tl at (0.000, 0.340, 0.750) and O at (0.185, 0.403, 0.250).

Its electronic total energy is -264.44 eV for the cell shown. Its volume is 26.94 Å³/atom.

[11]
VASP calculation (PBE) on a relaxed Y4ZnRe crystal.

The structure belongs to space group F-43m (No. 216); the cell edges are 8.454, 8.454 and 8.454 Å and the angles 90.00°, 90.00° and 90.00°. The inequivalent atoms are Y at (0.123, 0.123, 0.377), Zn at (0.000, 0.000, 0.000) and Re at (0.250, 0.250, 0.750).

Its volume is 25.18 Å³/atom. For the energy of formation, the calculation gives 935 meV/atom.

[12]
VASP calculation (PBE) on a relaxed Tm2PtO crystal.

The structure belongs to space group R-3m (No. 166, hexagonal axes); the cell edges are 3.2457, 3.2457 and 24.3844 Å and the angles 90.00°, 90.00° and 120.00°. The inequivalent atoms are Tm at (0.0000, 0.0000, 0.1081), Pt at (0.0000, 0.0000, 0.0000) and O at (0.0000, 0.0000, 0.5000).

Its electronic total energy is -75.34 eV for the cell shown. Its volume is 18.54 Å³/atom.

[13]
VASP calculation (PBE) on a relaxed La3Mg7Cd4 crystal.

The structure belongs to space group C2/m (No. 12); the cell edges are 17.657, 5.005 and 9.912 Å and the angles 90.00°, 123.68° and 90.00°. The inequivalent atoms are La at (0.000, 0.000, 0.000), La at (0.206, 0.500, 0.711), Mg at (0.000, 0.000, 0.500), Mg at (0.002, 0.500, 0.321), Mg at (0.150, 0.000, 0.431), Mg at (0.166, 0.500, 0.020), Cd at (0.133, 0.000, 0.848) and Cd at (0.154, 0.500, 0.289).

Its volume is 26.03 Å³/atom. For the energy of formation, the calculation gives -215 meV/atom.

[14]
VASP calculation (PBE) on a relaxed CdP2 crystal.

The structure belongs to space group P6/mmm (No. 191); the cell edges are 4.1093, 4.1093 and 3.9968 Å and the angles 90.00°, 90.00° and 120.00°. The inequivalent atoms are Cd at (0.0000, 0.0000, 0.0000) and P at (0.3333, 0.6667, 0.5000).

Its volume is 19.48 Å³/atom. For the energy of formation, the calculation gives 493 meV/atom.

[15]
VASP calculation (PBE) on a relaxed Er5Sn4H crystal.

The structure belongs to space group I4 (No. 79); the cell edges are 9.427, 9.427 and 6.123 Å and the angles 90.00°, 90.00° and 90.00°. The inequivalent atoms are Er at (0.000, 0.000, 0.000), Er at (0.100, 0.721, 0.558), Sn at (0.089, 0.695, 0.059) and H at (0.000, 0.000, 0.623).

Its electronic total energy is -92.30 eV for the cell shown. Its volume is 27.21 Å³/atom.

[16]
VASP calculation (PBE) on a relaxed CsTiGa2 crystal.

The structure belongs to space group Fm-3m (No. 225); the cell edges are 7.460, 7.460 and 7.460 Å and the angles 90.00°, 90.00° and 90.00°. The inequivalent atoms are Cs at (0.000, 0.000, 0.000), Ti at (0.000, 0.000, 0.500) and Ga at (0.250, 0.250, 0.250).

Its volume is 25.95 Å³/atom. For the energy of formation, the calculation gives 764 meV/atom.

[17]
VASP calculation (PBE) on a relaxed LiTc2Se crystal.

The structure belongs to space group Pm (No. 6); the cell edges are 3.292, 3.113 and 6.103 Å and the angles 90.00°, 105.33° and 90.00°. The inequivalent atoms are Li at (0.000, 0.000, 0.000), Tc at (0.245, 0.000, 0.501), Tc at (0.633, 0.500, 0.275) and Se at (0.423, 0.500, 0.843).

Its electronic total energy is -26.24 eV for the cell shown. Its volume is 15.08 Å³/atom.

[18]
VASP calculation (PBE) on a relaxed Zr2BeTc crystal.

The structure belongs to space group Cm (No. 8); the cell edges are 9.741, 3.250 and 4.557 Å and the angles 90.00°, 106.04° and 90.00°. The inequivalent atoms are Zr at (0.000, 0.000, 0.000), Zr at (0.224, 0.000, 0.668), Be at (0.470, 0.000, 0.496) and Tc at (0.297, 0.500, 0.251).

Its volume is 17.33 Å³/atom. For the energy of formation, the calculation gives -71 meV/atom.

[19]
VASP calculation (PBE) on a relaxed Ti7Bi2TeH2 crystal.

The structure belongs to space group C2/m (No. 12); the cell edges are 5.880, 5.879 and 11.592 Å and the angles 90.00°, 104.43° and 90.00°. The inequivalent atoms are Ti at (0.000, 0.000, 0.000), Ti at (0.161, 0.250, 0.819), Ti at (0.182, 0.000, 0.372), Bi at (0.181, 0.500, 0.369), Te at (0.000, 0.500, 0.000) and H at (0.091, 0.000, 0.185).

Its electronic total energy is -153.34 eV for the cell shown. Its volume is 16.17 Å³/atom.

[20]
VASP calculation (PBE) on a relaxed CdSbMo crystal.

The structure belongs to space group P-6m2 (No. 187); the cell edges are 4.8703, 4.8703 and 2.9612 Å and the angles 90.00°, 90.00° and 120.00°. The inequivalent atoms are Cd at (0.0000, 0.0000, 0.0000), Sb at (0.3333, 0.6667, 0.5000) and Mo at (0.6667, 0.3333, 0.5000).

The energy above the most stable polymorph in this dataset is 0.192 eV/atom. Its volume is 20.28 Å³/atom.